# 1
Here is PdRhAu2 after structural relaxation from the Alexandria database. Energies are from PBE.

Cell lengths 4.5370, 4.5370, 4.5370 Å; angles 60.00, 60.00, 60.00 degrees
Closest atoms and distances in Å follow each position.
Fractional positions:
Pd 0.0000 0.0000 0.0000  8 Au 2.78
Rh 0.5000 0.5000 0.5000  8 Au 2.78
Au 0.2500 0.2500 0.2500  4 Rh 2.78, 4 Pd 2.78
Au 0.7500 0.7500 0.7500  4 Rh 2.78, 4 Pd 2.78

- size of the total moment (μB/cell) = 0.96
- formation energy (eV/atom) = 0.145



# 2
Here is Pd8RhAu2 after structural relaxation from the Alexandria database. Energies are from PBE.

Cell lengths 6.6846, 6.6846, 4.7503 Å; angles 101.93, 101.93, 84.67 degrees
Closest atoms and distances in Å follow each position.
Fractional positions:
Pd 0.0707 0.0707 0.2911  1 Au 2.68, 7 Pd 2.69-2.79
Pd 0.1694 0.6668 0.1931  4 Pd 2.63-2.91, 1 Rh 2.63, 1 Au 2.71
Pd 0.2229 0.2229 0.8774  5 Pd 2.63-2.79, 1 Rh 2.64, 2 Au 2.67-2.69
Pd 0.3332 0.8306 0.8069  4 Pd 2.63-2.91, 1 Rh 2.63, 1 Au 2.71
Pd 0.6668 0.1694 0.1931  4 Pd 2.63-2.91, 1 Rh 2.63, 1 Au 2.71
Pd 0.7771 0.7771 0.1226  5 Pd 2.63-2.79, 1 Rh 2.64, 2 Au 2.67-2.69
Pd 0.8306 0.3332 0.8069  4 Pd 2.63-2.91, 1 Rh 2.63, 1 Au 2.71
Pd 0.9293 0.9293 0.7089  1 Au 2.68, 7 Pd 2.69-2.79
Rh 0.5000 0.5000 0.0000  4 Au 2.61-2.90, 6 Pd 2.63-2.64
Au 0.3532 0.3532 0.4507  2 Rh 2.61-2.90, 5 Pd 2.67-2.71, 1 Au 2.81
Au 0.6468 0.6468 0.5493  2 Rh 2.61-2.90, 5 Pd 2.67-2.71, 1 Au 2.81

- size of the total moment (μB/cell) = 0.00
- formation energy (eV/atom) = 0.370



# 3
Here is Pd2RhAu after structural relaxation from the Alexandria database. Energies are from PBE.

Cell lengths 5.7385, 5.7385, 5.7385 Å; angles 102.90, 102.90, 123.61 degrees
Closest atoms and distances in Å follow each position.
Fractional positions:
Pd 0.1114 0.6250 0.9864  2 Rh 2.55, 2 Au 2.69, 2 Pd 2.72
Pd 0.3750 0.3614 0.4864  2 Rh 2.55, 2 Au 2.69, 2 Pd 2.72
Pd 0.6386 0.1250 0.0136  2 Rh 2.55, 2 Au 2.69, 2 Pd 2.72
Pd 0.8750 0.8886 0.5136  2 Rh 2.55, 2 Au 2.69, 2 Pd 2.72
Rh 0.0000 0.0000 0.0000  4 Pd 2.55, 2 Au 2.71
Rh 0.7500 0.2500 0.5000  4 Pd 2.55, 2 Au 2.71
Au 0.2500 0.7500 0.5000  4 Pd 2.69, 2 Rh 2.71
Au 0.5000 0.5000 0.0000  4 Pd 2.69, 2 Rh 2.71

- size of the total moment (μB/cell) = 0.00
- formation energy (eV/atom) = 0.450



# 4
Here is PdRu2RhAu after structural relaxation from the Alexandria database. Energies are from PBE.

Cell lengths 4.7185, 4.7185, 4.8958 Å; angles 90.00, 90.00, 90.00 degrees
Closest atoms and distances in Å follow each position.
Fractional positions:
Pd 0.0000 0.0000 0.0000  4 Ru 2.36, 2 Au 2.45
Ru 0.0000 0.5000 0.0000  2 Pd 2.36
Ru 0.5000 0.0000 0.0000  2 Pd 2.36
Rh 0.5000 0.5000 0.5000  4 Au 3.34, 8 Ru 3.40
Au 0.0000 0.0000 0.5000  2 Pd 2.45

- size of the total moment (μB/cell) = 5.83
- formation energy (eV/atom) = 1.928



# 5
Here is ScPdRhAu after structural relaxation from the Alexandria database. Energies are from PBE.

Cell lengths 4.8644, 4.8644, 4.8644 Å; angles 129.62, 129.62, 74.01 degrees
Closest atoms and distances in Å follow each position.
Fractional positions:
Sc 0.0000 0.0000 0.0000  4 Pd 2.84, 4 Rh 2.84, 4 Au 2.93
Pd 0.7500 0.2500 0.5000  4 Au 2.84, 4 Sc 2.84, 4 Rh 2.93
Rh 0.2500 0.7500 0.5000  4 Au 2.84, 4 Sc 2.84, 4 Pd 2.93
Au 0.5000 0.5000 0.0000  4 Pd 2.84, 4 Rh 2.84, 4 Sc 2.93

- size of the total moment (μB/cell) = 0.00
- formation energy (eV/atom) = -0.634



# 6
Here is PdRhAu2Se after structural relaxation from the Alexandria database. Energies are from PBE.

Cell lengths 4.8598, 4.8598, 4.5306 Å; angles 90.00, 90.00, 90.00 degrees
Closest atoms and distances in Å follow each position.
Fractional positions:
Pd 0.0000 0.0000 0.0000  8 Au 3.32, 4 Rh 3.44
Rh 0.5000 0.5000 0.0000  2 Se 2.27
Au 0.0000 0.5000 0.5000  2 Se 2.43
Au 0.5000 0.0000 0.5000  2 Se 2.43
Se 0.5000 0.5000 0.5000  2 Rh 2.27, 4 Au 2.43

- size of the total moment (μB/cell) = 0.00
- ΔE_f (raw) (eV per atom) = 0.65



# 7
Here is PdRhAuSe5 after structural relaxation from the Alexandria database. Energies are from PBE.

Cell lengths 6.9781, 6.9781, 7.9733 Å; angles 95.90, 95.90, 111.51 degrees
Closest atoms and distances in Å follow each position.
Fractional positions:
Pd 0.0000 0.5000 0.0000  6 Se 2.52-2.67
Pd 0.5000 0.0000 0.5000  6 Se 2.52-2.67
Rh 0.0438 0.9562 0.7500  5 Se 2.55-2.56
Rh 0.9562 0.0438 0.2500  5 Se 2.55-2.56
Au 0.4987 0.5013 0.7500  2 Se 2.47
Au 0.5013 0.4987 0.2500  2 Se 2.47
Se 0.1770 0.8230 0.2500  1 Rh 2.55, 2 Pd 2.67
Se 0.1891 0.2567 0.0536  1 Au 2.47, 1 Pd 2.55, 1 Rh 2.56
Se 0.1990 0.7234 0.5952  1 Se 2.43, 1 Pd 2.52, 1 Rh 2.55
Se 0.2567 0.1891 0.5536  1 Au 2.47, 1 Pd 2.55, 1 Rh 2.56
Se 0.2766 0.8010 0.9048  1 Se 2.43, 1 Pd 2.52, 1 Rh 2.55
Se 0.7234 0.1990 0.0952  1 Se 2.43, 1 Pd 2.52, 1 Rh 2.55
Se 0.7433 0.8109 0.4464  1 Au 2.47, 1 Pd 2.55, 1 Rh 2.56
Se 0.8010 0.2766 0.4048  1 Se 2.43, 1 Pd 2.52, 1 Rh 2.55
Se 0.8109 0.7433 0.9464  1 Au 2.47, 1 Pd 2.55, 1 Rh 2.56
Se 0.8230 0.1770 0.7500  1 Rh 2.55, 2 Pd 2.67

- size of the total moment (μB/cell) = 0.00
- ΔE_f (raw) (eV per atom) = -0.08



# 8
Here is SiPd2RhAu after structural relaxation from the Alexandria database. Energies are from PBE.

Cell lengths 4.4516, 4.4516, 4.6497 Å; angles 90.00, 90.00, 90.00 degrees
Closest atoms and distances in Å follow each position.
Fractional positions:
Si 0.0000 0.0000 0.0000  4 Pd 2.23, 2 Au 2.32
Pd 0.0000 0.5000 0.0000  2 Si 2.23
Pd 0.5000 0.0000 0.0000  2 Si 2.23
Rh 0.5000 0.5000 0.5000  4 Au 3.15, 8 Pd 3.22
Au 0.0000 0.0000 0.5000  2 Si 2.32

- size of the total moment (μB/cell) = 1.03
- ΔE_f (raw) (eV per atom) = 0.44



# 9
Here is Si2PdRhAu after structural relaxation from the Alexandria database. Energies are from PBE.

Cell lengths 4.4192, 4.4192, 5.2132 Å; angles 90.00, 90.00, 90.00 degrees
Closest atoms and distances in Å follow each position.
Fractional positions:
Si 0.0000 0.5000 0.0000  2 Rh 2.21
Si 0.5000 0.0000 0.0000  2 Rh 2.21
Pd 0.0000 0.0000 0.5000  4 Au 3.12, 8 Si 3.42
Rh 0.5000 0.5000 0.0000  4 Si 2.21
Au 0.5000 0.5000 0.5000  2 Rh 2.61

- size of the total moment (μB/cell) = 0.00
- ΔE_f (raw) (eV per atom) = 0.41



# 10
Here is SmPdRhAu after structural relaxation from the Alexandria database. Energies are from PBE.

Cell lengths 4.7363, 4.7363, 4.7363 Å; angles 60.00, 60.00, 60.00 degrees
Closest atoms and distances in Å follow each position.
Fractional positions:
Sm 0.0000 0.0000 0.0000  4 Pd 2.90, 4 Rh 2.90
Pd 0.7500 0.7500 0.7500  4 Au 2.90, 4 Sm 2.90
Rh 0.2500 0.2500 0.2500  4 Au 2.90, 4 Sm 2.90
Au 0.5000 0.5000 0.5000  4 Rh 2.90, 4 Pd 2.90

- size of the total moment (μB/cell) = 0.00
- formation energy (eV/atom) = -0.557



# 11
Here is SmPdRhAu after structural relaxation from the Alexandria database. Energies are from PBE.

Cell lengths 3.9688, 4.2628, 4.3525 Å; angles 90.00, 90.00, 90.00 degrees
Closest atoms and distances in Å follow each position.
Fractional positions:
Sm 0.0000 0.0000 0.0000  4 Rh 2.91, 4 Pd 2.95, 4 Au 3.05
Pd 0.5000 0.0000 0.5000  4 Au 2.91, 4 Sm 2.95, 4 Rh 3.05
Rh 0.5000 0.5000 0.0000  4 Sm 2.91, 4 Au 2.95, 4 Pd 3.05
Au 0.0000 0.5000 0.5000  4 Pd 2.91, 4 Rh 2.95, 4 Sm 3.05

- size of the total moment (μB/cell) = 0.00
- formation energy (eV/atom) = -0.675



# 12
Here is SnPdRhAu after structural relaxation from the Alexandria database. Energies are from PBE.

Cell lengths 4.5760, 4.5760, 4.5760 Å; angles 60.00, 60.00, 60.00 degrees
Closest atoms and distances in Å follow each position.
Fractional positions:
Sn 0.0000 0.0000 0.0000  4 Rh 2.80, 4 Pd 2.80
Pd 0.7500 0.7500 0.7500  4 Sn 2.80, 4 Au 2.80
Rh 0.2500 0.2500 0.2500  4 Sn 2.80, 4 Au 2.80
Au 0.5000 0.5000 0.5000  4 Rh 2.80, 4 Pd 2.80

- size of the total moment (μB/cell) = 0.00
- formation energy (eV/atom) = -0.288



# 13
Here is SnPdRhAu after structural relaxation from the Alexandria database. Energies are from PBE.

Cell lengths 3.8258, 4.1217, 4.2778 Å; angles 90.00, 90.00, 90.00 degrees
Closest atoms and distances in Å follow each position.
Fractional positions:
Sn 0.0000 0.0000 0.0000  4 Rh 2.81, 4 Pd 2.87, 4 Au 2.97
Pd 0.5000 0.0000 0.5000  4 Au 2.81, 4 Sn 2.87, 4 Rh 2.97
Rh 0.5000 0.5000 0.0000  4 Sn 2.81, 4 Au 2.87, 4 Pd 2.97
Au 0.0000 0.5000 0.5000  4 Pd 2.81, 4 Rh 2.87, 4 Sn 2.97

- size of the total moment (μB/cell) = 0.00
- formation energy (eV/atom) = -0.315



# 14
Here is TePdRhAu after structural relaxation from the Alexandria database. Energies are from PBE.

Cell lengths 4.6295, 4.6295, 4.6295 Å; angles 60.00, 60.00, 60.00 degrees
Closest atoms and distances in Å follow each position.
Fractional positions:
Te 0.0000 0.0000 0.0000  4 Pd 2.83, 4 Rh 2.83
Pd 0.7500 0.7500 0.7500  4 Te 2.83, 4 Au 2.83
Rh 0.2500 0.2500 0.2500  4 Te 2.83, 4 Au 2.83
Au 0.5000 0.5000 0.5000  4 Pd 2.83, 4 Rh 2.83

- size of the total moment (μB/cell) = 0.00
- ΔE_f (raw) (eV per atom) = -0.04